(1)
## Ta11Si2Se8 (PBEsol)

Data for Ta11Si2Se8 after structural relaxation.

Properties
uncorrected formation energy: -734 meV per atom
DOS at the Fermi energy: 5.953 states/eV/f.u.

a = 11.8146 Å, b = 19.3220 Å, c = 3.4452 Å
α = 90.00°, β = 90.00°, γ = 90.00°
Space group Pnnm (No. 58)
Unique sites:
Ta 0.0000 0.0000 0.0000 (multiplicity 2)
Ta 0.0518 0.2421 0.0000 (multiplicity 4)
Ta 0.0664 0.1132 0.5000 (multiplicity 4)
Ta 0.1595 0.7858 0.5000 (multiplicity 4)
Ta 0.1791 0.3552 0.5000 (multiplicity 4)
Ta 0.1788 0.9528 0.5000 (multiplicity 4)
Si 0.0909 0.8718 0.0000 (multiplicity 4)
Se 0.0389 0.6724 0.5000 (multiplicity 4)
Se 0.1071 0.4459 0.0000 (multiplicity 4)
Se 0.2149 0.0571 0.0000 (multiplicity 4)
Se 0.2184 0.2124 0.5000 (multiplicity 4)

(2)
## Ta2SiSe (PBEsol)

Data for Ta2SiSe after structural relaxation.

Properties
energy above the most stable polymorph in this dataset: 0.000 eV per atom
uncorrected formation energy: -319 meV per atom
DOS at the Fermi energy: 1.720 states/eV/f.u.

a = 9.1654 Å, b = 3.1982 Å, c = 4.5426 Å
α = 90.00°, β = 104.10°, γ = 90.00°
Space group Cm (No. 8)
Unique sites:
Ta 0.0000 0.0000 0.0000 (multiplicity 2)
Ta 0.2251 0.0000 0.6218 (multiplicity 2)
Si 0.4951 0.0000 0.5040 (multiplicity 2)
Se 0.2355 0.5000 0.1312 (multiplicity 2)

(3)
## Ta2SiSe (PBEsol)

Data for Ta2SiSe after structural relaxation.

Properties
energy above the most stable polymorph in this dataset: 0.075 eV per atom
uncorrected formation energy: -244 meV per atom
DOS at the Fermi energy: 1.088 states/eV/f.u.

a = 6.3310 Å, b = 6.3310 Å, c = 6.3310 Å
α = 90.00°, β = 90.00°, γ = 90.00°
Space group Fm-3m (No. 225)
Unique sites:
Ta 0.2500 0.2500 0.2500 (multiplicity 8)
Si 0.0000 0.0000 0.0000 (multiplicity 4)
Se 0.0000 0.0000 0.5000 (multiplicity 4)

(4)
## Ta2SiSe (PBEsol)

Data for Ta2SiSe after structural relaxation.

Properties
energy above the most stable polymorph in this dataset: 0.412 eV per atom
uncorrected formation energy: 93 meV per atom
DOS at the Fermi energy: 3.199 states/eV/f.u.

a = 3.8841 Å, b = 3.8841 Å, c = 8.6509 Å
α = 90.00°, β = 90.00°, γ = 90.00°
Space group I-4m2 (No. 119)
Unique sites:
Ta 0.0000 0.0000 0.0000 (multiplicity 2)
Ta 0.0000 0.5000 0.2500 (multiplicity 2)
Si 0.0000 0.5000 0.7500 (multiplicity 2)
Se 0.0000 0.0000 0.5000 (multiplicity 2)